Record 1
A geometry-optimized TcSnP2O structure. Source: Alexandria via LeMat-Bulk, functional PBE-GGA.

Cell: 5.073 5.073 3.866 Å, 90.00 90.00 90.00°
Sites, in units of the cell vectors:
Tc (0.000, 0.000, 0.000)
Sn (0.500, 0.500, 0.500)
P (0.000, 0.500, 0.500)
P (0.500, 0.000, 0.500)
O (0.500, 0.500, 0.000)

Properties
The calculation puts the relative energy among the computed polymorphs at 1021 meV per atom. The calculation puts the uncorrected formation energy at 84 kJ/mol of atoms. For the calculated volume, the calculation gives 99.48 Å³ per cell.

Record 2
A geometry-optimized Er4NiIr structure. Source: Alexandria via LeMat-Bulk, functional PBE-GGA.

Cell: 7.593 7.593 7.593 Å, 106.03 106.03 116.59°
Sites, in units of the cell vectors:
Er (0.193, 0.494, 0.700)
Er (0.244, 0.044, 0.800)
Er (0.244, 0.443, 0.200)
Er (0.298, 0.000, 0.298)
Er (0.702, 0.000, 0.702)
Er (0.750, 0.548, 0.798)
Er (0.750, 0.952, 0.202)
Er (0.794, 0.494, 0.300)
Ni (0.745, 0.245, 0.500)
Ni (0.995, 0.995, 0.000)
Ir (0.249, 0.749, 0.500)
Ir (0.499, 0.499, 0.000)

Properties
The calculation puts the relative energy among the computed polymorphs at 61 meV per atom. The calculation puts the formation energy at -0.4310 eV/atom. For the calculated volume, the calculation gives 333.04 Å³ per cell.

Record 3
A geometry-optimized AcThN2 structure. Source: Alexandria via LeMat-Bulk, functional PBE-GGA.

Cell: 6.802 6.802 6.802 Å, 31.55 31.55 31.55°
Sites, in units of the cell vectors:
Ac (0.000, 0.000, 0.000)
Th (0.828, 0.828, 0.828)
N (0.230, 0.230, 0.230)
N (0.424, 0.424, 0.424)

Properties
The calculation puts the relative energy among the computed polymorphs at 169 meV per atom. The calculation puts the uncorrected formation energy at -116 kJ/mol of atoms. For the calculated volume, the calculation gives 76.49 Å³ per cell.

Record 4
A geometry-optimized Li2GaPt structure. Source: Alexandria via LeMat-Bulk, functional PBE-GGA.

Cell: 9.590 9.590 9.590 Å, 16.90 16.90 16.90°
Sites, in units of the cell vectors:
Li (0.095, 0.095, 0.095)
Li (0.905, 0.905, 0.905)
Ga (0.000, 0.000, 0.000)
Pt (0.500, 0.500, 0.500)

Properties
The calculation puts the formation energy at -0.2950 eV/atom. For the calculated volume, the calculation gives 65.01 Å³ per cell.

Record 5
A geometry-optimized BaBeAgAu2 structure. Source: Alexandria via LeMat-Bulk, functional PBE-GGA.

Cell: 4.816 4.816 4.847 Å, 90.00 90.00 90.00°
Sites, in units of the cell vectors:
Ba (0.000, 0.000, 0.000)
Be (0.500, 0.500, 0.500)
Ag (0.500, 0.500, 0.000)
Au (0.000, 0.500, 0.500)
Au (0.500, 0.000, 0.500)

Properties
The calculation puts the formation energy at -0.3048 eV/atom. For the calculated volume, the calculation gives 112.41 Å³ per cell.

Record 6
A geometry-optimized Ta4NiRh structure. Source: Alexandria via LeMat-Bulk, functional PBE-GGA.

Cell: 6.277 6.277 5.047 Å, 90.00 90.00 90.00°
Sites, in units of the cell vectors:
Ta (0.152, 0.337, 0.000)
Ta (0.152, 0.663, 0.500)
Ta (0.337, 0.152, 0.500)
Ta (0.337, 0.848, 0.000)
Ta (0.663, 0.152, 0.000)
Ta (0.663, 0.848, 0.500)
Ta (0.848, 0.337, 0.500)
Ta (0.848, 0.663, 0.000)
Ni (0.000, 0.000, 0.250)
Ni (0.000, 0.000, 0.750)
Rh (0.500, 0.500, 0.250)
Rh (0.500, 0.500, 0.750)

Properties
The calculation puts the relative energy among the computed polymorphs at 0 meV per atom. The calculation puts the formation energy at -0.2488 eV/atom. For the calculated volume, the calculation gives 198.88 Å³ per cell.

> Which formula does entry 6 have?

Ta4NiRh

> Which value of calculated volume does entry 3 give?

76.49 Å³ per cell

> What is the formula in the sixth record?

Ta4NiRh

> What is the calculated volume in the sixth record?

198.88 Å³ per cell